First-principles (PBE with a Hubbard U) data for an optimized crystal structure of RbVF3, as listed in Alexandria via LeMat-Bulk.

D(E_F)	0.00	states/eV/f.u.
calculated total energy	-5.49	eV/atom

The structure in CIF format:
```
data_RbVF3
_symmetry_space_group_name_H-M 'R -3'
_symmetry_Int_Tables_number 148
_symmetry_space_group_name_Hall '-R 3'
_cell_length_a 5.8817
_cell_length_b 5.8817
_cell_length_c 18.2119
_cell_angle_alpha 90.00
_cell_angle_beta 90.00
_cell_angle_gamma 120.00
loop_
_atom_site_label
_atom_site_fract_x
_atom_site_fract_y
_atom_site_fract_z
Rb1 0.0000 0.0000 0.1371
V1 0.0000 0.0000 0.3367
F1 0.0083 0.3972 0.9358
```